# 1
YCr5: single point on PBEsol structure, meta-GGA SCAN.

Calculated values
Size of the total moment   1.6 μB per cell
Calculated formation energy   430 meV/atom
Density   7.0 Mg/m³
D(E_F)   20.12 states/eV per cell
Calculated volume   13.70 Å³/atom

Lattice parameters (Å, degrees): 6.9019 6.9019 6.9019 90.00 90.00 90.00
Last column: nearest neighbours and their distance in Å.
Space group F-43m (No. 216)
One atom of each set of equivalent atoms:
Y 0.0000 0.0000 0.0000 [4 per cell]  16 Cr 2.86-2.99
Cr 0.1241 0.1241 0.3759 [16 per cell]  6 Cr 2.42-2.46
Cr 0.2500 0.2500 0.7500 [4 per cell]  12 Cr 2.86, 4 Y 2.99


# 2
YCr3: single point on PBEsol structure, meta-GGA SCAN.

Calculated values
Size of the total moment   11.8 μB per cell
Calculated formation energy   231 meV/atom
Density   6.4 Mg/m³
D(E_F)   9.76 states/eV per cell
Calculated volume   15.84 Å³/atom

Lattice parameters (Å, degrees): 6.3280 6.3280 6.3280 90.00 90.00 90.00
Last column: nearest neighbours and their distance in Å.
Space group Fm-3m (No. 225)
One atom of each set of equivalent atoms:
Y 0.0000 0.0000 0.0000 [4 per cell]  8 Cr 2.74
Cr 0.0000 0.0000 0.5000 [4 per cell]  8 Cr 2.74
Cr 0.2500 0.2500 0.2500 [8 per cell]  4 Cr 2.74, 4 Y 2.74


# 3
YCr2: single point on PBEsol structure, meta-GGA SCAN.

Calculated values
Size of the total moment   0.0 μB per cell
Calculated formation energy   471 meV/atom
Density   6.4 Mg/m³
D(E_F)   6.68 states/eV per cell
Calculated volume   16.63 Å³/atom

Lattice parameters (Å, degrees): 3.0427 3.0427 10.7754 90.00 90.00 90.00
Last column: nearest neighbours and their distance in Å.
Space group I4/mmm (No. 139)
One atom of each set of equivalent atoms:
Y 0.0000 0.0000 0.0000 [2 per cell]  4 Y 3.04, 10 Cr 3.10-3.14
Cr 0.0000 0.0000 0.2879 [4 per cell]  4 Cr 2.30


# 4
Y3Cr: single point on PBEsol structure, meta-GGA SCAN.

Calculated values
Size of the total moment   3.1 μB per cell
Calculated formation energy   180 meV/atom
Density   5.1 Mg/m³
D(E_F)   4.61 states/eV per cell
Calculated volume   26.10 Å³/atom

Lattice parameters (Å, degrees): 4.8464 4.8464 4.4444 90.00 90.00 90.00
Last column: nearest neighbours and their distance in Å.
Space group P4/mmm (No. 123)
One atom of each set of equivalent atoms:
Y 0.0000 0.0000 0.0000 [1 per cell]  8 Y 3.29, 4 Cr 3.43
Y 0.0000 0.5000 0.5000 [2 per cell]  4 Cr 3.29, 8 Y 3.29-3.43
Cr 0.5000 0.5000 0.0000 [1 per cell]  12 Y 3.29-3.43


# 5
YCr: single point on PBEsol structure, meta-GGA SCAN.

Calculated values
Size of the total moment   35.6 μB per cell
Calculated formation energy   371 meV/atom
Density   5.3 Mg/m³
D(E_F)   16.54 states/eV per cell
Calculated volume   21.93 Å³/atom

Lattice parameters (Å, degrees): 7.0531 7.0531 7.0531 90.00 90.00 90.00
Last column: nearest neighbours and their distance in Å.
Space group Fd-3m (No. 227, origin choice 2)
One atom of each set of equivalent atoms:
Y 0.1250 0.1250 0.1250 [8 per cell]  4 Cr 3.05, 4 Y 3.05
Cr 0.1250 0.1250 0.6250 [8 per cell]  4 Y 3.05, 4 Cr 3.05


# 6
YCr: single point on PBEsol structure, meta-GGA SCAN.

Calculated values
Size of the total moment   18.0 μB per cell
Calculated formation energy   554 meV/atom
Density   4.7 Mg/m³
D(E_F)   3.76 states/eV per cell
Calculated volume   24.80 Å³/atom

Lattice parameters (Å, degrees): 5.8324 5.8324 5.8324 90.00 90.00 90.00
Last column: nearest neighbours and their distance in Å.
Space group Fm-3m (No. 225)
One atom of each set of equivalent atoms:
Y 0.0000 0.0000 0.0000 [4 per cell]  6 Cr 2.92
Cr 0.0000 0.0000 0.5000 [4 per cell]  6 Y 2.92


# 7
Y3Cr2: single point on PBEsol structure, meta-GGA SCAN.

Calculated values
Size of the total moment   7.5 μB per cell
Calculated formation energy   248 meV/atom
Density   4.9 Mg/m³
D(E_F)   4.35 states/eV per cell
ΔE to the lowest computed polymorph   0 meV/atom
Calculated volume   25.09 Å³/atom

Lattice parameters (Å, degrees): 4.8948 4.8948 6.0469 90.00 90.00 120.00
Last column: nearest neighbours and their distance in Å.
Space group P-3m1 (No. 164)
One atom of each set of equivalent atoms:
Y 0.0000 0.0000 0.0000 [1 per cell]  6 Cr 2.95
Y 0.3333 0.6667 0.3417 [2 per cell]  5 Cr 2.92-3.13
Cr 0.3333 0.6667 0.8590 [2 per cell]  8 Y 2.92-3.13


# 8
YCr3: single point on PBEsol structure, meta-GGA SCAN.

Calculated values
Size of the total moment   0.0 μB per cell
Calculated formation energy   582 meV/atom
Density   6.3 Mg/m³
D(E_F)   8.35 states/eV per cell
Calculated volume   16.13 Å³/atom

Lattice parameters (Å, degrees): 8.5830 3.0537 5.1674 90.00 107.68 90.00
Last column: nearest neighbours and their distance in Å.
Space group C2/m (No. 12)
One atom of each set of equivalent atoms:
Y 0.0000 0.0000 0.0000 [2 per cell]  12 Cr 3.00-3.20, 2 Y 3.05
Cr 0.0000 0.5000 0.5000 [2 per cell]  4 Cr 2.31
Cr 0.2108 0.0000 0.6290 [4 per cell]  4 Cr 2.26-2.31


Q: Which formula does entry 1 have?
A: YCr5